# BaMgTa (PBE, optimized geometry)
# Calculated density   7.09 Mg/m³
# ΔH_f (0 K)   0.706 eV per atom
# Density of states at the Fermi level   8.22 states/eV per cell
# Polymorph energy (0 for the lowest one)   0.0 meV per atom
data_BaMgTa
_chemical_formula_sum 'Ba2 Mg2 Ta2'
_symmetry_space_group_name_H-M 'I 4 m m'
_symmetry_Int_Tables_number 107
_symmetry_space_group_name_Hall 'I 4 -2'
_cell_length_a 3.1826
_cell_length_b 3.1826
_cell_length_c 15.8419
_cell_angle_alpha 90.00
_cell_angle_beta 90.00
_cell_angle_gamma 90.00
loop_
_atom_site_label
_atom_site_type_symbol
_atom_site_fract_x
_atom_site_fract_y
_atom_site_fract_z
Ba1 Ba 0.0000 0.0000 0.0000
Mg1 Mg 0.0000 0.0000 0.3046
Ta1 Ta 0.0000 0.0000 0.6808



# BaMgTa2 (PBE, optimized geometry)
# Calculated density   8.97 Mg/m³
# ΔH_f (0 K)   0.623 eV per atom
# Density of states at the Fermi level   4.35 states/eV per cell
data_BaMgTa2
_chemical_formula_sum 'Ba1 Mg1 Ta2'
_symmetry_space_group_name_H-M 'P 4 m m'
_symmetry_Int_Tables_number 99
_symmetry_space_group_name_Hall 'P 4 -2'
_cell_length_a 3.0294
_cell_length_b 3.0294
_cell_length_c 10.5577
_cell_angle_alpha 90.00
_cell_angle_beta 90.00
_cell_angle_gamma 90.00
loop_
_atom_site_label
_atom_site_type_symbol
_atom_site_fract_x
_atom_site_fract_y
_atom_site_fract_z
Ba1 Ba 0.0000 0.0000 0.0000
Mg1 Mg 0.5000 0.5000 0.2986
Ta1 Ta 0.0000 0.0000 0.5120
Ta2 Ta 0.5000 0.5000 0.7086



# BaMgTa (PBE, optimized geometry)
# Calculated density   5.22 Mg/m³
# ΔH_f (0 K)   1.863 eV per atom
# Density of states at the Fermi level   25.79 states/eV per cell
# Polymorph energy (0 for the lowest one)   1157.0 meV per atom
data_BaMgTa
_chemical_formula_sum 'Ba4 Mg4 Ta4'
_symmetry_space_group_name_H-M 'F -4 3 m'
_symmetry_Int_Tables_number 216
_symmetry_space_group_name_Hall 'F -4 2 3'
_cell_length_a 7.5837
_cell_length_b 7.5837
_cell_length_c 7.5837
_cell_angle_alpha 90.00
_cell_angle_beta 90.00
_cell_angle_gamma 90.00
loop_
_atom_site_label
_atom_site_type_symbol
_atom_site_fract_x
_atom_site_fract_y
_atom_site_fract_z
Ba1 Ba 0.0000 0.0000 0.0000
Mg1 Mg 0.2500 0.2500 0.7500
Ta1 Ta 0.2500 0.2500 0.2500



# BaMg3Ta (PBE, optimized geometry)
# Calculated density   3.82 Mg/m³
# ΔH_f (0 K)   0.724 eV per atom
# Density of states at the Fermi level   4.44 states/eV per cell
# Polymorph energy (0 for the lowest one)   0.0 meV per atom
data_BaMg3Ta
_chemical_formula_sum 'Ba1 Mg3 Ta1'
_symmetry_space_group_name_H-M 'P m -3 m'
_symmetry_Int_Tables_number 221
_symmetry_space_group_name_Hall '-P 4 2 3'
_cell_length_a 5.5400
_cell_length_b 5.5400
_cell_length_c 5.5400
_cell_angle_alpha 90.00
_cell_angle_beta 90.00
_cell_angle_gamma 90.00
loop_
_atom_site_label
_atom_site_type_symbol
_atom_site_fract_x
_atom_site_fract_y
_atom_site_fract_z
Ba1 Ba 0.0000 0.0000 0.0000
Mg1 Mg 0.0000 0.5000 0.5000
Ta1 Ta 0.5000 0.5000 0.5000